Entry 1:
The following is a GGA-PBE calculation of a relaxed Sr4Ca5Pr crystal, from Alexandria via LeMat-Bulk.

Computed properties:
volume: 45.913 Å³/atom
space group: P4/mmm
energy of formation from the pure elements: 0.035 eV per atom
DOS(E_F): 13.48 states/eV per cell

a = 4.093 Å, b = 4.093 Å, c = 27.406 Å
α = 90.00°, β = 90.00°, γ = 90.00°
Positions (direct):
Sr (0.000, 0.000, 0.105)
Sr (0.000, 0.000, 0.315)
Sr (0.000, 0.000, 0.685)
Sr (0.000, 0.000, 0.895)
Ca (0.500, 0.500, 0.000)
Ca (0.500, 0.500, 0.210)
Ca (0.500, 0.500, 0.416)
Ca (0.500, 0.500, 0.584)
Ca (0.500, 0.500, 0.790)
Pr (0.000, 0.000, 0.500)

=====

Entry 2:
The following is a GGA-PBE calculation of a relaxed Nd4Tl5Hg crystal, from Alexandria via LeMat-Bulk.

Computed properties:
volume: 29.299 Å³/atom
excess energy over the best structure of this formula in the dataset: 0.0 kJ per mole of atoms
space group: C2/m
energy of formation from the pure elements: -0.352 eV per atom
DOS(E_F): 7.36 states/eV per cell

a = 9.420 Å, b = 9.420 Å, c = 6.669 Å
α = 110.73°, β = 110.73°, γ = 32.18°
Positions (direct):
Nd (0.084, 0.084, 0.339)
Nd (0.303, 0.303, 0.885)
Nd (0.697, 0.697, 0.115)
Nd (0.916, 0.916, 0.661)
Tl (0.108, 0.108, 0.850)
Tl (0.296, 0.296, 0.386)
Tl (0.500, 0.500, 0.500)
Tl (0.704, 0.704, 0.614)
Tl (0.892, 0.892, 0.150)
Hg (0.500, 0.500, 0.000)

=====

Entry 3:
The following is a GGA-PBE calculation of a relaxed Ac2Pm5Nd3 crystal, from Alexandria via LeMat-Bulk.

Computed properties:
volume: 37.752 Å³/atom
space group: C2/c
energy of formation from the pure elements: 0.196 eV per atom
DOS(E_F): 32.32 states/eV per cell

a = 9.116 Å, b = 9.116 Å, c = 10.582 Å
α = 106.53°, β = 106.53°, γ = 104.29°
Positions (direct):
Ac (0.050, 0.297, 0.052)
Ac (0.297, 0.050, 0.552)
Ac (0.703, 0.950, 0.448)
Ac (0.950, 0.703, 0.948)
Pm (0.022, 0.978, 0.750)
Pm (0.079, 0.336, 0.674)
Pm (0.242, 0.758, 0.750)
Pm (0.336, 0.079, 0.174)
Pm (0.497, 0.503, 0.750)
Pm (0.503, 0.497, 0.250)
Pm (0.664, 0.921, 0.826)
Pm (0.758, 0.242, 0.250)
Pm (0.921, 0.664, 0.326)
Pm (0.978, 0.022, 0.250)
Nd (0.221, 0.466, 0.433)
Nd (0.268, 0.732, 0.250)
Nd (0.466, 0.221, 0.933)
Nd (0.534, 0.779, 0.067)
Nd (0.732, 0.268, 0.750)
Nd (0.779, 0.534, 0.567)

=====

Entry 4:
The following is a GGA-PBE calculation of a relaxed Rb2Te2Pb2Se crystal, from Alexandria via LeMat-Bulk.

Computed properties:
volume: 44.579 Å³/atom
space group: C2/m
ΔE_f (raw): -689 meV/atom

a = 16.505 Å, b = 4.951 Å, c = 8.884 Å
α = 90.00°, β = 120.73°, γ = 90.00°
Positions (direct):
Rb (0.040, 0.000, 0.271)
Rb (0.460, 0.500, 0.729)
Rb (0.540, 0.500, 0.271)
Rb (0.960, 0.000, 0.729)
Te (0.160, 0.500, 0.104)
Te (0.340, 0.000, 0.896)
Te (0.660, 0.000, 0.104)
Te (0.840, 0.500, 0.896)
Pb (0.194, 0.500, 0.792)
Pb (0.306, 0.000, 0.208)
Pb (0.694, 0.000, 0.792)
Pb (0.806, 0.500, 0.208)
Se (0.000, 0.500, 0.500)
Se (0.500, 0.000, 0.500)

=====

Entry 5:
The following is a GGA-PBE calculation of a relaxed KAcSe crystal, from Alexandria via LeMat-Bulk.

Computed properties:
volume: 40.242 Å³/atom
excess energy over the best structure of this formula in the dataset: 7.5 kJ per mole of atoms
space group: Cmce
DOS(E_F): 8.83 states/eV per cell
ΔE_f (raw): -878 meV/atom

a = 7.721 Å, b = 7.721 Å, c = 8.214 Å
α = 90.00°, β = 90.00°, γ = 99.56°
Positions (direct):
K (0.209, 0.209, 0.000)
K (0.291, 0.291, 0.500)
K (0.709, 0.709, 0.500)
K (0.791, 0.791, 0.000)
Ac (0.202, 0.798, 0.638)
Ac (0.298, 0.702, 0.138)
Ac (0.702, 0.298, 0.862)
Ac (0.798, 0.202, 0.362)
Se (0.065, 0.935, 0.295)
Se (0.435, 0.565, 0.795)
Se (0.565, 0.435, 0.205)
Se (0.935, 0.065, 0.705)

=====

Entry 6:
The following is a GGA-PBE calculation of a relaxed BeNi2Pt crystal, from Alexandria via LeMat-Bulk.

Computed properties:
volume: 11.215 Å³/atom
space group: P4/mmm
energy of formation from the pure elements: -0.261 eV per atom
DOS(E_F): 7.74 states/eV per cell

a = 2.674 Å, b = 2.674 Å, c = 6.272 Å
α = 90.00°, β = 90.00°, γ = 90.00°
Positions (direct):
Be (0.000, 0.000, 0.000)
Ni (0.500, 0.500, 0.202)
Ni (0.500, 0.500, 0.798)
Pt (0.000, 0.000, 0.500)

=====

Entry 7:
The following is a GGA-PBE calculation of a relaxed Hg3B2F8 crystal, from Alexandria via LeMat-Bulk.

Computed properties:
volume: 17.114 Å³/atom
space group: C2/m
DOS(E_F): 1.12 states/eV per cell
ΔE_f (raw): -2110 meV/atom

a = 5.238 Å, b = 5.238 Å, c = 9.843 Å
α = 105.49°, β = 105.49°, γ = 59.99°
Positions (direct):
Hg (0.000, 0.000, 0.000)
Hg (0.167, 0.167, 0.500)
Hg (0.833, 0.833, 0.500)
B (0.386, 0.386, 0.159)
B (0.614, 0.614, 0.841)
F (0.256, 0.256, 0.210)
F (0.256, 0.698, 0.210)
F (0.302, 0.744, 0.790)
F (0.336, 0.336, 0.007)
F (0.664, 0.664, 0.993)
F (0.698, 0.256, 0.210)
F (0.744, 0.302, 0.790)
F (0.744, 0.744, 0.790)

=====

Entry 8:
The following is a GGA-PBE calculation of a relaxed Mg2UAl9 crystal, from Alexandria via LeMat-Bulk.

Computed properties:
volume: 18.603 Å³/atom
space group: R-3m
energy of formation from the pure elements: -0.008 eV per atom
DOS(E_F): 11.01 states/eV per cell

a = 9.308 Å, b = 9.308 Å, c = 9.308 Å
α = 33.87°, β = 33.87°, γ = 33.87°
Positions (direct):
Mg (0.143, 0.143, 0.143)
Mg (0.857, 0.857, 0.857)
U (0.000, 0.000, 0.000)
Al (0.079, 0.585, 0.585)
Al (0.335, 0.335, 0.335)
Al (0.415, 0.415, 0.921)
Al (0.415, 0.921, 0.415)
Al (0.500, 0.500, 0.500)
Al (0.585, 0.079, 0.585)
Al (0.585, 0.585, 0.079)
Al (0.665, 0.665, 0.665)
Al (0.921, 0.415, 0.415)

=====

Entry 9:
The following is a GGA-PBE calculation of a relaxed Mg12In5Ga2 crystal, from Alexandria via LeMat-Bulk.

Computed properties:
volume: 22.913 Å³/atom
excess energy over the best structure of this formula in the dataset: 0.0 kJ per mole of atoms
space group: C2/m
energy of formation from the pure elements: -0.052 eV per atom
DOS(E_F): 5.67 states/eV per cell

a = 9.326 Å, b = 9.326 Å, c = 5.769 Å
α = 103.51°, β = 103.51°, γ = 64.52°
Positions (direct):
Mg (0.047, 0.047, 0.280)
Mg (0.047, 0.567, 0.791)
Mg (0.146, 0.659, 0.361)
Mg (0.341, 0.854, 0.639)
Mg (0.402, 0.402, 0.980)
Mg (0.433, 0.953, 0.209)
Mg (0.567, 0.047, 0.791)
Mg (0.598, 0.598, 0.020)
Mg (0.659, 0.146, 0.361)
Mg (0.854, 0.341, 0.639)
Mg (0.953, 0.433, 0.209)
Mg (0.953, 0.953, 0.720)
In (0.196, 0.196, 0.861)
In (0.295, 0.295, 0.439)
In (0.500, 0.500, 0.500)
In (0.705, 0.705, 0.561)
In (0.804, 0.804, 0.139)
Ga (0.249, 0.751, 0.000)
Ga (0.751, 0.249, 0.000)

=====

Entry 10:
The following is a GGA-PBE calculation of a relaxed NaCd2GePd crystal, from Alexandria via LeMat-Bulk.

Computed properties:
volume: 26.244 Å³/atom
space group: P4/mmm
energy of formation from the pure elements: -0.067 eV per atom
DOS(E_F): 2.31 states/eV per cell

a = 5.250 Å, b = 5.250 Å, c = 4.760 Å
α = 90.00°, β = 90.00°, γ = 90.00°
Positions (direct):
Na (0.000, 0.000, 0.000)
Cd (0.000, 0.500, 0.500)
Cd (0.500, 0.000, 0.500)
Ge (0.500, 0.500, 0.000)
Pd (0.500, 0.500, 0.500)

=====

Entry 11:
The following is a GGA-PBE calculation of a relaxed Er3Sn3Pd crystal, from Alexandria via LeMat-Bulk.

Computed properties:
volume: 24.891 Å³/atom
space group: C2/m
energy of formation from the pure elements: -0.773 eV per atom
DOS(E_F): 6.46 states/eV per cell

a = 5.997 Å, b = 5.997 Å, c = 14.743 Å
α = 107.17°, β = 107.17°, γ = 43.89°
Positions (direct):
Er (0.029, 0.029, 0.381)
Er (0.096, 0.096, 0.922)
Er (0.233, 0.233, 0.231)
Er (0.767, 0.767, 0.769)
Er (0.904, 0.904, 0.078)
Er (0.971, 0.971, 0.619)
Sn (0.361, 0.361, 0.455)
Sn (0.369, 0.369, 0.924)
Sn (0.484, 0.484, 0.767)
Sn (0.516, 0.516, 0.233)
Sn (0.631, 0.631, 0.076)
Sn (0.639, 0.639, 0.545)
Pd (0.266, 0.266, 0.614)
Pd (0.734, 0.734, 0.386)

=====

Entry 12:
The following is a GGA-PBE calculation of a relaxed La3Nd2PuN6 crystal, from Alexandria via LeMat-Bulk.

Computed properties:
volume: 17.278 Å³/atom
space group: C2/m
DOS(E_F): 7.41 states/eV per cell
ΔE_f (raw): -1317 meV/atom

a = 6.317 Å, b = 6.317 Å, c = 6.354 Å
α = 99.57°, β = 99.57°, γ = 119.87°
Positions (direct):
La (0.000, 0.000, 0.000)
La (0.335, 0.665, 0.000)
La (0.665, 0.335, 0.000)
Nd (0.166, 0.834, 0.500)
Nd (0.834, 0.166, 0.500)
Pu (0.500, 0.500, 0.500)
N (0.117, 0.424, 0.272)
N (0.266, 0.266, 0.739)
N (0.424, 0.117, 0.272)
N (0.576, 0.883, 0.728)
N (0.734, 0.734, 0.261)
N (0.883, 0.576, 0.728)

=====

Entry 13:
The following is a GGA-PBE calculation of a relaxed NaOs4O12 crystal, from Alexandria via LeMat-Bulk.

Computed properties:
volume: 12.891 Å³/atom
space group: Im-3m
DOS(E_F): 3.58 states/eV per cell
ΔE_f (raw): -1040 meV/atom

a = 6.578 Å, b = 6.578 Å, c = 6.578 Å
α = 109.47°, β = 109.47°, γ = 109.47°
Positions (direct):
Na (0.000, 0.000, 0.000)
Os (0.000, 0.000, 0.500)
Os (0.000, 0.500, 0.000)
Os (0.500, 0.000, 0.000)
Os (0.500, 0.500, 0.500)
O (0.000, 0.248, 0.752)
O (0.000, 0.752, 0.248)
O (0.248, 0.000, 0.752)
O (0.248, 0.248, 0.497)
O (0.248, 0.497, 0.248)
O (0.248, 0.752, 0.000)
O (0.497, 0.248, 0.248)
O (0.503, 0.752, 0.752)
O (0.752, 0.000, 0.248)
O (0.752, 0.248, 0.000)
O (0.752, 0.503, 0.752)
O (0.752, 0.752, 0.503)

=====

Entry 14:
The following is a GGA-PBE calculation of a relaxed Zn2TeO crystal, from Alexandria via LeMat-Bulk.

Computed properties:
volume: 16.741 Å³/atom
excess energy over the best structure of this formula in the dataset: 91.1 kJ per mole of atoms
space group: Fm-3m
DOS(E_F): 8.79 states/eV per cell
ΔE_f (raw): 161 meV/atom

a = 6.446 Å, b = 6.446 Å, c = 6.446 Å
α = 90.00°, β = 90.00°, γ = 90.00°
Positions (direct):
Zn (0.250, 0.250, 0.250)
Zn (0.250, 0.250, 0.750)
Zn (0.250, 0.750, 0.250)
Zn (0.250, 0.750, 0.750)
Zn (0.750, 0.250, 0.250)
Zn (0.750, 0.250, 0.750)
Zn (0.750, 0.750, 0.250)
Zn (0.750, 0.750, 0.750)
Te (0.000, 0.000, 0.000)
Te (0.000, 0.500, 0.500)
Te (0.500, 0.000, 0.500)
Te (0.500, 0.500, 0.000)
O (0.000, 0.000, 0.500)
O (0.000, 0.500, 0.000)
O (0.500, 0.000, 0.000)
O (0.500, 0.500, 0.500)

=====

Entry 15:
The following is a GGA-PBE calculation of a relaxed PrTmCdCo crystal, from Alexandria via LeMat-Bulk.

Computed properties:
volume: 23.599 Å³/atom
space group: F-43m
energy of formation from the pure elements: -0.079 eV per atom
DOS(E_F): 10.13 states/eV per cell

a = 7.228 Å, b = 7.228 Å, c = 7.228 Å
α = 90.00°, β = 90.00°, γ = 90.00°
Positions (direct):
Pr (0.000, 0.000, 0.000)
Pr (0.000, 0.500, 0.500)
Pr (0.500, 0.000, 0.500)
Pr (0.500, 0.500, 0.000)
Tm (0.000, 0.000, 0.500)
Tm (0.000, 0.500, 0.000)
Tm (0.500, 0.000, 0.000)
Tm (0.500, 0.500, 0.500)
Cd (0.250, 0.250, 0.250)
Cd (0.250, 0.750, 0.750)
Cd (0.750, 0.250, 0.750)
Cd (0.750, 0.750, 0.250)
Co (0.250, 0.250, 0.750)
Co (0.250, 0.750, 0.250)
Co (0.750, 0.250, 0.250)
Co (0.750, 0.750, 0.750)

=====

Entry 16:
The following is a GGA-PBE calculation of a relaxed La2ZnGe4Au3 crystal, from Alexandria via LeMat-Bulk.

Computed properties:
volume: 21.265 Å³/atom
space group: P-4m2
energy of formation from the pure elements: -0.592 eV per atom
DOS(E_F): 2.71 states/eV per cell

a = 4.462 Å, b = 4.462 Å, c = 10.681 Å
α = 90.00°, β = 90.00°, γ = 90.00°
Positions (direct):
La (0.000, 0.500, 0.246)
La (0.500, 0.000, 0.754)
Zn (0.500, 0.500, 0.000)
Ge (0.000, 0.000, 0.500)
Ge (0.000, 0.500, 0.869)
Ge (0.500, 0.000, 0.131)
Ge (0.500, 0.500, 0.500)
Au (0.000, 0.000, 0.000)
Au (0.000, 0.500, 0.633)
Au (0.500, 0.000, 0.367)

=====

Entry 17:
The following is a GGA-PBE calculation of a relaxed Pm2Y6HoEr2 crystal, from Alexandria via LeMat-Bulk.

Computed properties:
volume: 32.920 Å³/atom
space group: Cmmm
energy of formation from the pure elements: 0.146 eV per atom
DOS(E_F): 18.61 states/eV per cell

a = 6.650 Å, b = 6.650 Å, c = 10.633 Å
α = 90.00°, β = 90.00°, γ = 129.63°
Positions (direct):
Pm (0.135, 0.865, 0.000)
Pm (0.865, 0.135, 0.000)
Y (0.000, 0.000, 0.295)
Y (0.000, 0.000, 0.705)
Y (0.346, 0.654, 0.212)
Y (0.346, 0.654, 0.788)
Y (0.654, 0.346, 0.212)
Y (0.654, 0.346, 0.788)
Ho (0.500, 0.500, 0.500)
Er (0.204, 0.796, 0.500)
Er (0.796, 0.204, 0.500)

=====

Entry 18:
The following is a GGA-PBE calculation of a relaxed Lu4Rh crystal, from Alexandria via LeMat-Bulk.

Computed properties:
volume: 29.366 Å³/atom
space group: Fd-3m
energy of formation from the pure elements: 0.065 eV per atom
DOS(E_F): 11.33 states/eV per cell

a = 7.461 Å, b = 7.461 Å, c = 7.461 Å
α = 60.00°, β = 60.00°, γ = 60.00°
Positions (direct):
Lu (0.208, 0.764, 0.764)
Lu (0.236, 0.236, 0.236)
Lu (0.236, 0.236, 0.792)
Lu (0.236, 0.792, 0.236)
Lu (0.764, 0.208, 0.764)
Lu (0.764, 0.764, 0.208)
Lu (0.764, 0.764, 0.764)
Lu (0.792, 0.236, 0.236)
Rh (0.375, 0.375, 0.375)
Rh (0.625, 0.625, 0.625)

=====

Entry 19:
The following is a GGA-PBE calculation of a relaxed SrCaAlAu crystal, from Alexandria via LeMat-Bulk.

Computed properties:
volume: 29.659 Å³/atom
excess energy over the best structure of this formula in the dataset: 0.0 kJ per mole of atoms
space group: Amm2
energy of formation from the pure elements: -0.483 eV per atom
DOS(E_F): 4.91 states/eV per cell

a = 4.517 Å, b = 4.572 Å, c = 11.490 Å
α = 90.00°, β = 90.00°, γ = 90.00°
Positions (direct):
Sr (0.000, 0.000, 0.000)
Sr (0.000, 0.500, 0.500)
Ca (0.500, 0.000, 0.711)
Ca (0.500, 0.500, 0.211)
Al (0.000, 0.000, 0.292)
Al (0.000, 0.500, 0.792)
Au (0.500, 0.000, 0.405)
Au (0.500, 0.500, 0.905)

=====

Entry 20:
The following is a GGA-PBE calculation of a relaxed Rb2BeSe2 crystal, from Alexandria via LeMat-Bulk.

Computed properties:
volume: 38.784 Å³/atom
excess energy over the best structure of this formula in the dataset: 1.7 kJ per mole of atoms
space group: C2/m
DOS(E_F): 0.00 states/eV per cell
ΔE_f (raw): -1011 meV/atom

a = 8.159 Å, b = 8.159 Å, c = 10.648 Å
α = 128.33°, β = 128.33°, γ = 48.23°
Positions (direct):
Rb (0.134, 0.134, 0.454)
Rb (0.284, 0.284, 0.187)
Rb (0.716, 0.716, 0.813)
Rb (0.866, 0.866, 0.546)
Be (0.468, 0.468, 0.852)
Be (0.532, 0.532, 0.148)
Se (0.344, 0.344, 0.897)
Se (0.421, 0.421, 0.615)
Se (0.579, 0.579, 0.385)
Se (0.656, 0.656, 0.103)

=====

Computed values of uncorrected energy (unit: eV per cell) for the preceding records, in sequence: -21.16, -34.72, -88.62, -47.89, -45.30, -22.37, -56.66, -48.25, -39.87, -13.30, -72.60, -104.41, -123.42, -40.01, -70.36, -45.35, -60.38, -50.22, -25.27, -35.38.